[1]
Computed, not measured: an optimized crystal structure of BeZn2Co at the PBE-GGA level of DFT.

DFT formation energy ... 0.00 eV per atom
Symmetry ... Pm (6)
Calculated density ... 7.06 Mg/m³

Cell: 2.588 3.579 5.204 Å, 90.00 104.02 90.00°
Element x y z (fractional)
Be  0.000  0.000  0.000
Zn  0.211  0.000  0.439
Zn  0.845  0.500  0.712
Co  0.569  0.500  0.153


[2]
Computed, not measured: an optimized crystal structure of BeZn2Co at the PBE-GGA level of DFT.

DFT formation energy ... 0.09 eV per atom
Symmetry ... P4/mmm (123)
Calculated density ... 7.11 Mg/m³

Cell: 2.888 2.888 5.563 Å, 90.00 90.00 90.00°
Element x y z (fractional)
Be  0.000  0.000  0.000
Zn  0.500  0.500  0.246
Zn  0.500  0.500  0.754
Co  0.000  0.000  0.500